A geometry-optimized FeOs2W structure, computed with PBE.

Cell lengths 2.717, 2.717, 7.522 Å; angles 90.00, 90.00, 90.00 degrees
Fractional coordinates of all 4 atoms:
Fe1 0.000 0.000 0.000
Os1 0.000 0.000 0.482
Os2 0.500 0.500 0.230
W1 0.500 0.500 0.759

Properties
size of the total moment	0.00	μB/f.u.
energy relative to the lowest polymorph listed for this composition	100	meV per atom
energy relative to the elements	142	meV per atom
E	-10.83	eV per atom

---

A geometry-optimized ZnFeOsW structure, computed with PBE.

Cell lengths 4.267, 4.267, 4.267 Å; angles 60.00, 60.00, 60.00 degrees
Fractional coordinates of all 4 atoms:
Zn1 0.000 0.000 0.000
Fe1 0.750 0.750 0.750
Os1 0.250 0.250 0.250
W1 0.500 0.500 0.500

Properties
size of the total moment	0.00	μB/f.u.
energy relative to the elements	68	meV per atom
E	-8.41	eV per atom

---

A geometry-optimized YFe2Os structure, computed with PBE.

Cell lengths 5.332, 5.332, 5.332 Å; angles 145.30, 129.04, 63.13 degrees
Fractional coordinates of all 4 atoms:
Y1 0.000 0.000 0.000
Fe1 0.273 0.773 0.500
Fe2 0.727 0.227 0.500
Os1 0.500 0.500 0.000

Properties
size of the total moment	5.50	μB/f.u.
energy relative to the lowest polymorph listed for this composition	218	meV per atom
energy relative to the elements	301	meV per atom
E	-8.35	eV per atom

---

A geometry-optimized YFe2Os structure, computed with PBE.

Cell lengths 4.842, 4.842, 4.927 Å; angles 106.98, 106.98, 36.36 degrees
Fractional coordinates of all 4 atoms:
Y1 0.000 0.000 0.000
Fe1 0.495 0.495 0.500
Fe2 0.777 0.777 0.304
Os1 0.224 0.224 0.663

Properties
size of the total moment	4.26	μB/f.u.
energy relative to the lowest polymorph listed for this composition	205	meV per atom
energy relative to the elements	288	meV per atom
E	-8.37	eV per atom

---

- Number 4 is which compound?
  YFe2Os